[1]
First-principles (GGA-PBE) data for an optimized crystal structure of LuCd2Sn, as listed in OQMD via LeMat-Bulk.

Calculated values
Size of the total moment (μB/atom): 0.0005
Calculated total energy (eV per atom): -2.735

```
LuCd2Sn
1.0
0.000 3.634 3.634
3.634 0.000 3.634
3.634 3.634 0.000
Lu Cd Sn
1 2 1
Direct
0.000 0.000 0.000
0.250 0.250 0.250
0.500 0.500 0.500
0.750 0.750 0.750
```

=====

[2]
First-principles (GGA-PBE) data for an optimized crystal structure of LuCdSnTe3, as listed in OQMD via LeMat-Bulk.

Calculated values
Size of the total moment (μB/atom): 0.0019
Calculated total energy (eV per atom): -3.715

```
LuCdSnTe3
1.0
2.179 -7.329 0.000
2.179 7.329 0.000
0.000 0.000 11.154
Lu Cd Sn Te
2 2 2 6
Direct
0.000 0.000 0.000
0.000 0.000 0.500
0.473 0.527 0.750
0.527 0.473 0.250
0.210 0.790 0.250
0.790 0.210 0.750
0.101 0.899 0.750
0.355 0.645 0.543
0.355 0.645 0.957
0.645 0.355 0.043
0.645 0.355 0.457
0.899 0.101 0.250
```

=====

[3]
First-principles (GGA-PBE) data for an optimized crystal structure of SrLuCdTe3, as listed in OQMD via LeMat-Bulk.

Calculated values
Size of the total moment (μB/atom): 0.0098
Calculated total energy (eV per atom): -3.758

```
SrLuCdTe3
1.0
2.178 -7.679 0.000
2.178 7.679 0.000
0.000 0.000 11.118
Sr Lu Cd Te
2 2 2 6
Direct
0.229 0.771 0.750
0.771 0.229 0.250
0.000 0.000 0.000
0.000 0.000 0.500
0.473 0.527 0.250
0.527 0.473 0.750
0.098 0.902 0.250
0.360 0.640 0.043
0.360 0.640 0.457
0.640 0.360 0.543
0.640 0.360 0.957
0.902 0.098 0.750
```

=====

[4]
First-principles (GGA-PBE) data for an optimized crystal structure of LuCdTc, as listed in OQMD via LeMat-Bulk.

Calculated values
Size of the total moment (μB/atom): 0.5656
E above lowest polymorph (eV/atom): 0.295

```
LuCdTc
1.0
0.000 3.311 3.311
3.311 0.000 3.311
3.311 3.311 0.000
Lu Cd Tc
1 1 1
Direct
0.000 0.000 0.000
0.750 0.750 0.750
0.250 0.250 0.250
```

=====

[5]
First-principles (GGA-PBE) data for an optimized crystal structure of LuCdTc, as listed in OQMD via LeMat-Bulk.

Calculated values
Size of the total moment (μB/atom): 0.3913
E above lowest polymorph (eV/atom): 0.000

```
LuCdTc
1.0
0.000 3.267 3.267
3.267 0.000 3.267
3.267 3.267 0.000
Lu Cd Tc
1 1 1
Direct
0.000 0.000 0.000
0.250 0.250 0.250
0.500 0.500 0.500
```

=====

[6]
First-principles (GGA-PBE) data for an optimized crystal structure of Lu7Cd2Te2, as listed in OQMD via LeMat-Bulk.

Calculated values
Size of the total moment (μB/atom): 0.0025
Calculated total energy (eV per atom): -4.113

```
Lu7Cd2Te2
1.0
-2.124 7.430 4.757
2.124 -7.430 4.757
2.124 7.430 -4.757
Lu Cd Te
7 2 2
Direct
0.000 0.000 0.000
0.061 0.378 0.683
0.113 0.754 0.360
0.394 0.754 0.640
0.468 0.595 0.874
0.695 0.378 0.317
0.721 0.595 0.126
0.306 0.075 0.231
0.843 0.075 0.769
0.343 0.343 0.000
0.733 0.233 0.500
```

=====

[7]
First-principles (GGA-PBE) data for an optimized crystal structure of Lu2TlCd, as listed in OQMD via LeMat-Bulk.

Calculated values
Size of the total moment (μB/atom): 0.0001
E above lowest polymorph (eV/atom): 0.000

```
Lu2TlCd
1.0
5.139 0.000 0.000
-2.569 4.450 0.000
0.000 0.000 9.947
Lu Tl Cd
4 2 2
Direct
0.333 0.667 0.085
0.333 0.667 0.415
0.667 0.333 0.585
0.667 0.333 0.915
0.333 0.667 0.750
0.667 0.333 0.250
0.000 0.000 0.000
0.000 0.000 0.500
```

=====

[8]
First-principles (GGA-PBE) data for an optimized crystal structure of LuTlCd, as listed in OQMD via LeMat-Bulk.

Calculated values
Size of the total moment (μB/atom): 0.0015
Calculated total energy (eV per atom): -2.473

```
LuTlCd
1.0
0.000 3.532 3.532
3.532 0.000 3.532
3.532 3.532 0.000
Lu Tl Cd
1 1 1
Direct
0.000 0.000 0.000
0.250 0.250 0.250
0.750 0.750 0.750
```

=====

[9]
First-principles (GGA-PBE) data for an optimized crystal structure of Lu2TlCd, as listed in OQMD via LeMat-Bulk.

Calculated values
Size of the total moment (μB/atom): 0.0006
E above lowest polymorph (eV/atom): 0.064

```
Lu2TlCd
1.0
5.021 0.000 0.000
-2.511 4.349 0.000
0.000 0.000 10.068
Lu Tl Cd
4 2 2
Direct
0.333 0.667 0.090
0.333 0.667 0.410
0.667 0.333 0.590
0.667 0.333 0.910
0.000 0.000 0.250
0.000 0.000 0.750
0.333 0.667 0.750
0.667 0.333 0.250
```

=====

[10]
First-principles (GGA-PBE) data for an optimized crystal structure of LuTlCd2, as listed in OQMD via LeMat-Bulk.

Calculated values
Size of the total moment (μB/atom): 0.0000
Calculated total energy (eV per atom): -2.302

```
LuTlCd2
1.0
0.000 3.612 3.612
3.612 0.000 3.612
3.612 3.612 0.000
Lu Tl Cd
1 1 2
Direct
0.000 0.000 0.000
0.750 0.750 0.750
0.250 0.250 0.250
0.500 0.500 0.500
```

=====

[11]
First-principles (GGA-PBE) data for an optimized crystal structure of LuTlCd, as listed in OQMD via LeMat-Bulk.

Calculated values
Size of the total moment (μB/atom): 0.0000
Calculated total energy (eV per atom): -2.701

```
LuTlCd
1.0
0.000 3.456 3.456
3.456 0.000 3.456
3.456 3.456 0.000
Lu Tl Cd
1 1 1
Direct
0.000 0.000 0.000
0.750 0.750 0.750
0.500 0.500 0.500
```

=====

[12]
First-principles (GGA-PBE) data for an optimized crystal structure of Lu2TlCd, as listed in OQMD via LeMat-Bulk.

Calculated values
Size of the total moment (μB/atom): 0.0015
E above lowest polymorph (eV/atom): 0.073

```
Lu2TlCd
1.0
0.000 3.751 3.751
3.751 0.000 3.751
3.751 3.751 0.000
Lu Tl Cd
2 1 1
Direct
0.000 0.000 0.000
0.250 0.250 0.250
0.500 0.500 0.500
0.750 0.750 0.750
```

=====

[13]
First-principles (GGA-PBE) data for an optimized crystal structure of Lu2TlCd, as listed in OQMD via LeMat-Bulk.

Calculated values
Size of the total moment (μB/atom): 0.0612
E above lowest polymorph (eV/atom): 0.006

```
Lu2TlCd
1.0
5.160 0.000 0.000
-2.580 4.469 0.000
0.000 0.000 9.955
Lu Tl Cd
4 2 2
Direct
0.333 0.667 0.084
0.333 0.667 0.416
0.667 0.333 0.584
0.667 0.333 0.916
0.000 0.000 0.000
0.000 0.000 0.500
0.333 0.667 0.750
0.667 0.333 0.250
```

=====

[14]
First-principles (GGA-PBE) data for an optimized crystal structure of TmLuCd, as listed in OQMD via LeMat-Bulk.

Calculated values
Size of the total moment (μB/atom): 0.0024
E above lowest polymorph (eV/atom): 0.000

```
TmLuCd
1.0
0.000 3.574 3.574
3.574 0.000 3.574
3.574 3.574 0.000
Tm Lu Cd
1 1 1
Direct
0.000 0.000 0.000
0.750 0.750 0.750
0.500 0.500 0.500
```

=====

[15]
First-principles (GGA-PBE) data for an optimized crystal structure of LuCdW, as listed in OQMD via LeMat-Bulk.

Calculated values
Size of the total moment (μB/atom): 0.9869
E above lowest polymorph (eV/atom): 0.282

```
LuCdW
1.0
0.000 3.379 3.379
3.379 0.000 3.379
3.379 3.379 0.000
Lu Cd W
1 1 1
Direct
0.000 0.000 0.000
0.750 0.750 0.750
0.250 0.250 0.250
```

=====

[16]
First-principles (GGA-PBE) data for an optimized crystal structure of LuCdW, as listed in OQMD via LeMat-Bulk.

Calculated values
Size of the total moment (μB/atom): 0.9284
E above lowest polymorph (eV/atom): 0.000

```
LuCdW
1.0
0.000 3.365 3.365
3.365 0.000 3.365
3.365 3.365 0.000
Lu Cd W
1 1 1
Direct
0.000 0.000 0.000
0.500 0.500 0.500
0.750 0.750 0.750
```

=====

[17]
First-principles (GGA-PBE) data for an optimized crystal structure of LuZnCd2, as listed in OQMD via LeMat-Bulk.

Calculated values
Size of the total moment (μB/atom): 0.0009
Calculated total energy (eV per atom): -2.110

```
LuZnCd2
1.0
0.000 3.441 3.441
3.441 0.000 3.441
3.441 3.441 0.000
Lu Zn Cd
1 1 2
Direct
0.000 0.000 0.000
0.750 0.750 0.750
0.250 0.250 0.250
0.500 0.500 0.500
```

=====

[18]
First-principles (GGA-PBE) data for an optimized crystal structure of Lu2ZnCd, as listed in OQMD via LeMat-Bulk.

Calculated values
Size of the total moment (μB/atom): 0.0001
Calculated total energy (eV per atom): -2.772

```
Lu2ZnCd
1.0
0.000 3.584 3.584
3.584 0.000 3.584
3.584 3.584 0.000
Lu Zn Cd
2 1 1
Direct
0.000 0.000 0.000
0.250 0.250 0.250
0.750 0.750 0.750
0.500 0.500 0.500
```

=====

[19]
First-principles (GGA-PBE) data for an optimized crystal structure of MgCd, as listed in OQMD via LeMat-Bulk.

Calculated values
Calculated total energy (eV per atom): -1.295

```
MgCd
1.0
5.380 0.000 0.000
0.000 5.122 0.000
-0.006 0.000 6.125
Mg Cd
4 4
Direct
0.078 0.250 0.132
0.422 0.750 0.132
0.578 0.250 0.868
0.922 0.750 0.868
0.078 0.250 0.638
0.422 0.750 0.638
0.578 0.250 0.362
0.922 0.750 0.362
```

=====

[20]
First-principles (GGA-PBE) data for an optimized crystal structure of MgCd, as listed in OQMD via LeMat-Bulk.

Calculated values
Calculated total energy (eV per atom): -1.291

```
MgCd
1.0
3.196 0.000 0.000
-1.598 2.767 0.000
0.000 0.000 4.826
Mg Cd
1 1
Direct
0.000 0.000 0.000
0.333 0.667 0.500
```